Record 1
# GGA-PBE Ac3Tb12Sm, optimized geometry
data_Ac3Tb12Sm
_cell_length_a 5.1530
_cell_length_b 5.1530
_cell_length_c 20.6043
_cell_angle_alpha 90.00
_cell_angle_beta 90.00
_cell_angle_gamma 90.00
_symmetry_space_group_name_H-M 'P 4/m m m'
_symmetry_Int_Tables_number 123
_symmetry_space_group_name_Hall '-P 4 2'
loop_
_atom_site_label
_atom_site_type_symbol
_atom_site_fract_x
_atom_site_fract_y
_atom_site_fract_z
Ac1 Ac 0.0000 0.0000 0.0000
Ac2 Ac 0.0000 0.0000 0.2520
Tb1 Tb 0.0000 0.5000 0.1264
Tb2 Tb 0.0000 0.5000 0.3798
Tb3 Tb 0.5000 0.5000 0.0000
Tb4 Tb 0.5000 0.5000 0.2532
Tb5 Tb 0.5000 0.5000 0.5000
Sm1 Sm 0.0000 0.0000 0.5000
# ΔH_f (0 K): 0.044 eV/atom
# VASP energy: -0.33027 Ry per atom



Record 2
# GGA-PBE AcTb6Sm4, optimized geometry
data_AcTb6Sm4
_cell_length_a 7.9393
_cell_length_b 7.9393
_cell_length_c 12.7943
_cell_angle_alpha 90.00
_cell_angle_beta 90.00
_cell_angle_gamma 90.00
_symmetry_space_group_name_H-M 'I -4 2 m'
_symmetry_Int_Tables_number 121
_symmetry_space_group_name_Hall 'I -4 2'
loop_
_atom_site_label
_atom_site_type_symbol
_atom_site_fract_x
_atom_site_fract_y
_atom_site_fract_z
Ac1 Ac 0.0000 0.0000 0.0000
Tb1 Tb 0.0000 0.5000 0.0000
Tb2 Tb 0.2343 0.2343 0.6915
Sm1 Sm 0.1673 0.1673 0.4275
# ΔH_f (0 K): 0.412 eV/atom
# VASP energy: -0.30893 Ry per atom
# Offset from the most stable computed form: 281 meV/atom



Record 3
# GGA-PBE AcTb4Sm2, optimized geometry
data_AcTb4Sm2
_cell_length_a 6.9690
_cell_length_b 8.8168
_cell_length_c 8.9615
_cell_angle_alpha 63.21
_cell_angle_beta 79.74
_cell_angle_gamma 82.00
_symmetry_space_group_name_H-M 'P 1'
_symmetry_Int_Tables_number 1
loop_
_symmetry_equiv_pos_as_xyz
'x,y,z'
loop_
_atom_site_label
_atom_site_type_symbol
_atom_site_fract_x
_atom_site_fract_y
_atom_site_fract_z
Ac1 Ac 0.0000 0.0000 0.0000
Ac2 Ac 0.2157 0.0733 0.3421
Tb1 Tb 0.1782 0.3851 0.9338
Tb2 Tb 0.3295 0.5565 0.1861
Tb3 Tb 0.4153 0.2709 0.6028
Tb4 Tb 0.6084 0.7171 0.4112
Tb5 Tb 0.6801 0.4379 0.8300
Tb6 Tb 0.6992 0.1919 0.2602
Tb7 Tb 0.7964 0.9081 0.6690
Tb8 Tb 0.8303 0.6074 0.0778
Sm1 Sm 0.0901 0.6527 0.5143
Sm2 Sm 0.3201 0.7975 0.7552
Sm3 Sm 0.5069 0.9865 0.0013
Sm4 Sm 0.9208 0.3292 0.5053
# ΔH_f (0 K): 0.088 eV/atom
# VASP energy: -0.33027 Ry per atom
# Offset from the most stable computed form: 48 meV/atom